1.
DFT (PBE-GGA) results for a geometry-optimized Er2Ni2Pd structure.

Output
symmetry	Immm, No. 71
calculated volume	91.15	Å³/f.u.
energy relative to the elements	-58.7	kJ per mole of atoms
E_tot	-5.785	eV per atom

Lattice parameters (Å, degrees): 4.087 5.250 5.250 66.01 67.09 67.09
Atoms (fractional coordinates):
1 Er 0.785 0.715 0.715
2 Ni 0.500 0.296 0.704
3 Ni 0.500 0.704 0.296
4 Pd 0.000 0.000 0.000
5 Er 0.215 0.285 0.285

---

2.
DFT (PBE-GGA) results for a geometry-optimized Na5Sr3I12 structure.

Output
symmetry	Ia-3d, No. 230
calculated volume	864.11	Å³/f.u.
E_tot	-2.795	eV per atom
ΔE_f (raw)	-1283.0	meV/atom

Lattice parameters (Å, degrees): 16.497 16.497 16.497 109.47 109.47 109.47
Atoms (fractional coordinates):
1 Sr 0.250 0.125 0.375
2 I 0.276 0.407 0.824
3 I 0.176 0.083 0.952
4 I 0.869 0.276 0.452
5 I 0.676 0.452 0.583
6 Sr 0.750 0.375 0.125
7 I 0.417 0.369 0.593
8 Na 0.625 0.750 0.875
9 I 0.417 0.048 0.324
10 I 0.548 0.224 0.131
11 I 0.048 0.417 0.824
12 Na 0.375 0.125 0.750
13 Na 0.500 0.500 0.500
14 I 0.324 0.548 0.417
15 I 0.131 0.407 0.083
16 I 0.407 0.131 0.583
17 I 0.952 0.369 0.276
18 I 0.093 0.176 0.224
19 I 0.548 0.324 0.917
20 Na 0.875 0.625 0.750
21 I 0.631 0.048 0.224
22 Na 0.000 0.500 0.000
23 Sr 0.125 0.875 0.750
24 I 0.083 0.907 0.131
25 I 0.407 0.276 0.324
26 I 0.224 0.548 0.631
27 Sr 0.750 0.875 0.625
28 Na 0.250 0.875 0.125
29 I 0.917 0.093 0.869
30 I 0.869 0.593 0.917
31 I 0.583 0.952 0.676
32 I 0.176 0.093 0.724
33 I 0.276 0.869 0.952
34 Na 0.375 0.250 0.125
35 I 0.324 0.776 0.407
36 Sr 0.375 0.625 0.250
37 Sr 0.875 0.125 0.250
38 I 0.593 0.724 0.676
39 Na 0.750 0.625 0.375
40 Na 0.250 0.375 0.625
41 I 0.907 0.824 0.776
42 Sr 0.625 0.375 0.750
43 I 0.131 0.724 0.548
44 Na 0.000 0.500 0.500
45 Sr 0.125 0.250 0.875
46 Na 0.875 0.250 0.625
47 I 0.724 0.131 0.048
48 Na 0.500 0.000 0.000
49 Sr 0.375 0.750 0.625
50 Na 0.500 0.000 0.500
51 I 0.724 0.593 0.176
52 I 0.093 0.917 0.369
53 Na 0.000 0.000 0.500
54 Na 0.625 0.875 0.250
55 I 0.369 0.952 0.776
56 Sr 0.250 0.625 0.875
57 Na 0.750 0.125 0.875
58 I 0.048 0.631 0.724
59 Na 0.000 0.000 0.000
60 I 0.593 0.869 0.417
61 I 0.224 0.676 0.093
62 I 0.917 0.824 0.548
63 I 0.583 0.631 0.407
64 Na 0.125 0.375 0.250
65 I 0.676 0.224 0.593
66 I 0.907 0.083 0.631
67 I 0.776 0.324 0.907
68 I 0.452 0.676 0.083
69 Sr 0.875 0.750 0.125
70 I 0.824 0.907 0.276
71 Na 0.500 0.500 0.000
72 I 0.776 0.452 0.369
73 I 0.824 0.917 0.048
74 Na 0.125 0.750 0.375
75 I 0.083 0.176 0.452
76 I 0.452 0.776 0.869
77 I 0.952 0.583 0.176
78 I 0.369 0.417 0.093
79 Sr 0.625 0.250 0.375
80 I 0.631 0.583 0.907

---

3.
DFT (PBE-GGA) results for a geometry-optimized CuRe2Ir structure.

Output
symmetry	I-4m2, No. 119
calculated volume	56.94	Å³/f.u.
offset from the most stable computed form	57	meV per atom
energy relative to the elements	14.5	kJ per mole of atoms
E_tot	-9.313	eV per atom

Lattice parameters (Å, degrees): 4.674 4.674 4.674 130.97 130.97 71.86
Atoms (fractional coordinates):
1 Cu 0.500 0.500 0.000
2 Ir 0.750 0.250 0.500
3 Re 0.250 0.750 0.500
4 Re 0.000 0.000 0.000

---

4.
DFT (PBE-GGA) results for a geometry-optimized TlGe3Br structure.

Output
symmetry	Pm-3m, No. 221
calculated volume	166.55	Å³/f.u.
offset from the most stable computed form	114	meV per atom
E_tot	-2.683	eV per atom
ΔE_f (raw)	895.5	meV/atom

Lattice parameters (Å, degrees): 5.502 5.502 5.502 90.00 90.00 90.00
Site moments in Bohr magnetons follow the coordinates.
Atoms (fractional coordinates):
1 Ge 0.000 0.500 0.000  0.04
2 Ge 0.500 0.000 0.000  0.05
3 Br 0.500 0.500 0.500  0.11
4 Ge 0.000 0.000 0.500  0.06
5 Tl 0.000 0.000 0.000  0.00

---

5.
DFT (PBE-GGA) results for a geometry-optimized K24Ba5 structure.

Output
symmetry	I-43m, No. 217
calculated volume	2042.76	Å³/f.u.
energy relative to the elements	6.6	kJ per mole of atoms
E_tot	-1.172	eV per atom

Lattice parameters (Å, degrees): 13.845 13.845 13.845 109.47 109.47 109.47
Atoms (fractional coordinates):
1 K 0.188 0.817 0.188
2 K 0.394 0.394 0.715
3 Ba 0.000 0.357 0.000
4 K 0.371 0.183 0.371
5 K 0.188 0.188 0.817
6 K 0.394 0.715 0.394
7 K 0.321 0.606 0.000
8 K 0.715 0.394 0.394
9 K 0.817 0.188 0.188
10 K 0.000 0.812 0.629
11 K 0.000 0.629 0.812
12 K 0.606 0.000 0.321
13 K 0.629 0.812 0.000
14 K 0.679 0.285 0.679
15 K 0.285 0.679 0.679
16 K 0.606 0.321 0.000
17 K 0.812 0.629 0.000
18 K 0.371 0.371 0.183
19 K 0.629 0.000 0.812
20 Ba 0.000 0.000 0.000
21 K 0.812 0.000 0.629
22 Ba 0.357 0.000 0.000
23 K 0.679 0.679 0.285
24 K 0.000 0.321 0.606
25 K 0.000 0.606 0.321
26 Ba 0.000 0.000 0.357
27 K 0.321 0.000 0.606
28 K 0.183 0.371 0.371
29 Ba 0.643 0.643 0.643

---

6.
DFT (PBE-GGA) results for a geometry-optimized Dy3Ho7Er structure.

Output
symmetry	C2/m, No. 12
calculated volume	352.26	Å³/f.u.
offset from the most stable computed form	128	meV per atom
energy relative to the elements	26.9	kJ per mole of atoms
E_tot	-4.304	eV per atom

Lattice parameters (Å, degrees): 5.747 8.342 8.342 83.20 110.20 110.20
Site moments in Bohr magnetons follow the coordinates.
Atoms (fractional coordinates):
1 Ho 0.791 0.793 0.793  0.01
2 Ho 0.300 0.000 0.599  0.01
3 Ho 0.700 0.401 0.000  0.01
4 Ho 0.300 0.599 0.000  0.01
5 Ho 0.700 0.000 0.401  0.01
6 Ho 0.209 0.207 0.207  0.01
7 Dy 0.000 0.208 0.792  0.01
8 Ho 0.000 0.500 0.500  0.16
9 Dy 0.500 0.000 0.000  0.00
10 Dy 0.000 0.792 0.208  0.01
11 Er 0.500 0.500 0.500  0.16